(1)
Ti2MoOs | GGA-PBE | relaxed

```
data_Ti2MoOs
_chemical_formula_sum 'Ti4 Mo2 Os2'
_cell_length_a 2.782
_cell_length_b 4.723
_cell_length_c 10.136
_cell_angle_alpha 90.00
_cell_angle_beta 90.00
_cell_angle_gamma 90.00
_space_group_name_H-M_alt 'I m m m'
_space_group_IT_number 71
_space_group_name_Hall '-I 2 2'
loop_
_atom_site_label
_atom_site_type_symbol
_atom_site_fract_x
_atom_site_fract_y
_atom_site_fract_z
Ti1 Ti 0.000 0.000 0.240
Mo1 Mo 0.000 0.000 0.500
Os1 Os 0.000 0.000 0.000
```

ΔE_f ... 1.72 eV/f.u.
Calculated total energy ... -0.66393 Ry per atom
ρ ... 9.5 Mg/m³

(2)
SbSCl | GGA-PBE | relaxed

```
data_SbSCl
_chemical_formula_sum 'Sb1 S1 Cl1'
_cell_length_a 4.469
_cell_length_b 3.637
_cell_length_c 6.648
_cell_angle_alpha 90.00
_cell_angle_beta 109.39
_cell_angle_gamma 90.00
_space_group_name_H-M_alt 'P 1 m 1'
_space_group_IT_number 6
loop_
_space_group_symop_operation_xyz
'x,y,z'
'x,-y,z'
loop_
_atom_site_label
_atom_site_type_symbol
_atom_site_fract_x
_atom_site_fract_y
_atom_site_fract_z
Sb1 Sb 0.000 0.000 0.000
S1 S 0.626 0.500 0.823
Cl1 Cl 0.893 0.000 0.332
```

Uncorrected formation energy ... -1.405 eV per formula unit
Calculated total energy ... -0.28179 Ry per atom
ρ ... 3.1 Mg/m³

(3)
Pm2Zn4HgAu3 | GGA-PBE | relaxed

```
data_Pm2Zn4HgAu3
_chemical_formula_sum 'Pm2 Zn4 Hg1 Au3'
_cell_length_a 4.267
_cell_length_b 4.267
_cell_length_c 11.458
_cell_angle_alpha 90.00
_cell_angle_beta 90.00
_cell_angle_gamma 90.00
_space_group_name_H-M_alt 'P -4 m 2'
_space_group_IT_number 115
loop_
_space_group_symop_operation_xyz
'x,y,z'
'y,-x,-z'
'-x,-y,z'
'-y,x,-z'
'-x,y,z'
'-y,-x,-z'
'x,-y,z'
'y,x,-z'
loop_
_atom_site_label
_atom_site_type_symbol
_atom_site_fract_x
_atom_site_fract_y
_atom_site_fract_z
Pm1 Pm 0.000 0.500 0.239
Zn1 Zn 0.000 0.000 0.000
Zn2 Zn 0.000 0.500 0.642
Zn3 Zn 0.500 0.500 0.000
Hg1 Hg 0.000 0.000 0.500
Au1 Au 0.000 0.500 0.863
Au2 Au 0.500 0.500 0.500
```

ΔE_f ... -4.66 eV/f.u.
Calculated total energy ... -0.21599 Ry per atom
ρ ... 10.7 Mg/m³

(4)
Sm3TeIrCl | GGA-PBE | relaxed

```
data_Sm3TeIrCl
_chemical_formula_sum 'Sm6 Te2 Ir2 Cl2'
_cell_length_a 8.900
_cell_length_b 4.191
_cell_length_c 9.983
_cell_angle_alpha 90.00
_cell_angle_beta 94.09
_cell_angle_gamma 90.00
_space_group_name_H-M_alt 'P 1 21/m 1'
_space_group_IT_number 11
loop_
_space_group_symop_operation_xyz
'x,y,z'
'-x,-y,-z'
'-x,y+1/2,-z'
'x,-y+1/2,z'
loop_
_atom_site_label
_atom_site_type_symbol
_atom_site_fract_x
_atom_site_fract_y
_atom_site_fract_z
Sm1 Sm 0.101 0.250 0.352
Sm2 Sm 0.163 0.250 0.913
Sm3 Sm 0.341 0.750 0.635
Te1 Te 0.381 0.750 0.321
Ir1 Ir 0.120 0.250 0.642
Cl1 Cl 0.365 0.750 0.927
```

Uncorrected formation energy ... -6.817 eV per formula unit
Calculated total energy ... -0.42658 Ry per atom
ρ ... 7.2 Mg/m³

(5)
Y2PCl2 | GGA-PBE | relaxed

```
data_Y2PCl2
_chemical_formula_sum 'Y6 P3 Cl6'
_cell_length_a 3.9563
_cell_length_b 3.9563
_cell_length_c 30.2414
_cell_angle_alpha 90.00
_cell_angle_beta 90.00
_cell_angle_gamma 120.00
_space_group_name_H-M_alt 'R -3 m'
_space_group_IT_number 166
_space_group_name_Hall '-R 3 2"'
loop_
_atom_site_label
_atom_site_type_symbol
_atom_site_fract_x
_atom_site_fract_y
_atom_site_fract_z
Y1 Y 0.0000 0.0000 0.1157
P1 P 0.0000 0.0000 0.5000
Cl1 Cl 0.0000 0.0000 0.2721
```

Uncorrected formation energy ... -9.861 eV per formula unit
Calculated total energy ... -0.46881 Ry per atom
ρ ... 3.4 Mg/m³

(6)
CaHfAsSe2 | GGA-PBE | relaxed

```
data_CaHfAsSe2
_chemical_formula_sum 'Ca1 Hf1 As1 Se2'
_cell_length_a 5.176
_cell_length_b 5.176
_cell_length_c 5.194
_cell_angle_alpha 90.00
_cell_angle_beta 90.00
_cell_angle_gamma 90.00
_space_group_name_H-M_alt 'P 4/m m m'
_space_group_IT_number 123
_space_group_name_Hall '-P 4 2'
loop_
_atom_site_label
_atom_site_type_symbol
_atom_site_fract_x
_atom_site_fract_y
_atom_site_fract_z
Ca1 Ca 0.000 0.000 0.000
Hf1 Hf 0.500 0.500 0.500
As1 As 0.000 0.000 0.500
Se1 Se 0.000 0.500 0.000
```

Uncorrected formation energy ... 2.113 eV per formula unit
Calculated total energy ... -0.31547 Ry per atom
Relative energy among the computed polymorphs ... 1.336 eV/atom
ρ ... 5.4 Mg/m³

(7)
PPdAu3 | GGA-PBE | relaxed

```
data_PPdAu3
_chemical_formula_sum 'P1 Pd1 Au3'
_cell_length_a 4.664
_cell_length_b 4.664
_cell_length_c 4.664
_cell_angle_alpha 90.00
_cell_angle_beta 90.00
_cell_angle_gamma 90.00
_space_group_name_H-M_alt 'P m -3 m'
_space_group_IT_number 221
_space_group_name_Hall '-P 4 2 3'
loop_
_atom_site_label
_atom_site_type_symbol
_atom_site_fract_x
_atom_site_fract_y
_atom_site_fract_z
P1 P 0.000 0.000 0.000
Pd1 Pd 0.500 0.500 0.500
Au1 Au 0.000 0.000 0.500
```

ΔE_f ... 1.48 eV/f.u.
Calculated total energy ... -0.27857 Ry per atom
Relative energy among the computed polymorphs ... 0.000 eV/atom
ρ ... 11.9 Mg/m³

(8)
NaAcSn | GGA-PBE | relaxed

```
data_NaAcSn
_chemical_formula_sum 'Na2 Ac2 Sn2'
_cell_length_a 4.837
_cell_length_b 4.837
_cell_length_c 8.716
_cell_angle_alpha 90.00
_cell_angle_beta 90.00
_cell_angle_gamma 90.00
_space_group_name_H-M_alt 'P 4/n m m'
_space_group_IT_number 129
loop_
_space_group_symop_operation_xyz
'x,y,z'
'-x,-y,-z'
'-y+1/2,x,z'
'y+1/2,-x,-z'
'-x+1/2,-y+1/2,z'
'x+1/2,y+1/2,-z'
'y,-x+1/2,z'
'-y,x+1/2,-z'
'x+1/2,-y,-z'
'-x+1/2,y,z'
'-y,-x,-z'
'y,x,z'
'-x,y+1/2,-z'
'x,-y+1/2,z'
'y+1/2,x+1/2,-z'
'-y+1/2,-x+1/2,z'
loop_
_atom_site_label
_atom_site_type_symbol
_atom_site_fract_x
_atom_site_fract_y
_atom_site_fract_z
Na1 Na 0.250 0.750 0.000
Ac1 Ac 0.250 0.250 0.349
Sn1 Sn 0.250 0.250 0.737
```

ΔE_f ... -1.40 eV/f.u.
Calculated total energy ... -0.26540 Ry per atom
Relative energy among the computed polymorphs ... 0.019 eV/atom
ρ ... 6.0 Mg/m³

(9)
Ac8Dy2Tm3 | GGA-PBE | relaxed

```
data_Ac8Dy2Tm3
_chemical_formula_sum 'Ac16 Dy4 Tm6'
_cell_length_a 20.568
_cell_length_b 8.511
_cell_length_c 6.086
_cell_angle_alpha 90.00
_cell_angle_beta 90.03
_cell_angle_gamma 90.00
_space_group_name_H-M_alt 'C 1 2/m 1'
_space_group_IT_number 12
loop_
_space_group_symop_operation_xyz
'x,y,z'
'-x,-y,-z'
'-x,y,-z'
'x,-y,z'
'x+1/2,y+1/2,z'
'-x+1/2,-y+1/2,-z'
'-x+1/2,y+1/2,-z'
'x+1/2,-y+1/2,z'
loop_
_atom_site_label
_atom_site_type_symbol
_atom_site_fract_x
_atom_site_fract_y
_atom_site_fract_z
Ac1 Ac 0.105 0.205 0.000
Ac2 Ac 0.125 0.500 0.500
Ac3 Ac 0.176 0.000 0.500
Dy1 Dy 0.237 0.500 0.999
Tm1 Tm 0.000 0.200 0.500
Tm2 Tm 0.000 0.500 0.000
```

ΔE_f ... 3.03 eV/f.u.
Calculated total energy ... -0.29658 Ry per atom
ρ ... 8.3 Mg/m³

(10)
Ho2Er2Tl3 | GGA-PBE | relaxed

```
data_Ho2Er2Tl3
_chemical_formula_sum 'Ho4 Er4 Tl6'
_cell_length_a 13.384
_cell_length_b 3.744
_cell_length_c 8.778
_cell_angle_alpha 90.00
_cell_angle_beta 112.01
_cell_angle_gamma 90.00
_space_group_name_H-M_alt 'C 1 2/m 1'
_space_group_IT_number 12
loop_
_space_group_symop_operation_xyz
'x,y,z'
'-x,-y,-z'
'-x,y,-z'
'x,-y,z'
'x+1/2,y+1/2,z'
'-x+1/2,-y+1/2,-z'
'-x+1/2,y+1/2,-z'
'x+1/2,-y+1/2,z'
loop_
_atom_site_label
_atom_site_type_symbol
_atom_site_fract_x
_atom_site_fract_y
_atom_site_fract_z
Ho1 Ho 0.112 0.000 0.446
Er1 Er 0.122 0.500 0.816
Tl1 Tl 0.000 0.000 0.000
Tl2 Tl 0.196 0.500 0.218
```

ΔE_f ... -1.22 eV/f.u.
Calculated total energy ... -0.27929 Ry per atom
Relative energy among the computed polymorphs ... 0.022 eV/atom
ρ ... 10.4 Mg/m³

(11)
Bi3TeC | GGA-PBE | relaxed

```
data_Bi3TeC
_chemical_formula_sum 'Bi3 Te1 C1'
_cell_length_a 5.087
_cell_length_b 5.087
_cell_length_c 5.087
_cell_angle_alpha 90.00
_cell_angle_beta 90.00
_cell_angle_gamma 90.00
_space_group_name_H-M_alt 'P m -3 m'
_space_group_IT_number 221
_space_group_name_Hall '-P 4 2 3'
loop_
_atom_site_label
_atom_site_type_symbol
_atom_site_fract_x
_atom_site_fract_y
_atom_site_fract_z
Bi1 Bi 0.000 0.000 0.500
Te1 Te 0.500 0.500 0.500
C1 C 0.000 0.000 0.000
```

Uncorrected formation energy ... 4.438 eV per formula unit
Calculated total energy ... -0.28768 Ry per atom
Relative energy among the computed polymorphs ... 0.000 eV/atom
ρ ... 9.7 Mg/m³

(12)
Pm4YIn4 | GGA-PBE | relaxed

```
data_Pm4YIn4
_chemical_formula_sum 'Pm8 Y2 In8'
_cell_length_a 9.227
_cell_length_b 9.227
_cell_length_c 6.231
_cell_angle_alpha 90.00
_cell_angle_beta 90.00
_cell_angle_gamma 90.00
_space_group_name_H-M_alt 'P 42/n'
_space_group_IT_number 86
loop_
_space_group_symop_operation_xyz
'x,y,z'
'-x,-y,-z'
'-y,x+1/2,z+1/2'
'y,-x+1/2,-z+1/2'
'-x+1/2,-y+1/2,z'
'x+1/2,y+1/2,-z'
'y+1/2,-x,z+1/2'
'-y+1/2,x,-z+1/2'
loop_
_atom_site_label
_atom_site_type_symbol
_atom_site_fract_x
_atom_site_fract_y
_atom_site_fract_z
Pm1 Pm 0.081 0.823 0.120
Y1 Y 0.250 0.250 0.750
In1 In 0.049 0.150 0.366
```

ΔE_f ... -2.58 eV/f.u.
Calculated total energy ... -0.31851 Ry per atom
ρ ... 7.1 Mg/m³

(13)
KLi2Be | GGA-PBE | relaxed

```
data_KLi2Be
_chemical_formula_sum 'K2 Li4 Be2'
_cell_length_a 7.484
_cell_length_b 7.508
_cell_length_c 3.183
_cell_angle_alpha 90.00
_cell_angle_beta 90.00
_cell_angle_gamma 90.00
_space_group_name_H-M_alt 'C m m m'
_space_group_IT_number 65
_space_group_name_Hall '-C 2 2'
loop_
_atom_site_label
_atom_site_type_symbol
_atom_site_fract_x
_atom_site_fract_y
_atom_site_fract_z
K1 K 0.000 0.000 0.000
Li1 Li 0.250 0.250 0.500
Be1 Be 0.000 0.500 0.000
```

ΔE_f ... 2.63 eV/f.u.
Calculated total energy ... -0.11060 Ry per atom
ρ ... 1.2 Mg/m³

(14)
Mo2Ir2Pb | GGA-PBE | relaxed

```
data_Mo2Ir2Pb
_chemical_formula_sum 'Mo4 Ir4 Pb2'
_cell_length_a 7.858
_cell_length_b 7.858
_cell_length_c 2.838
_cell_angle_alpha 90.00
_cell_angle_beta 90.00
_cell_angle_gamma 90.00
_space_group_name_H-M_alt 'P 4/m b m'
_space_group_IT_number 127
_space_group_name_Hall '-P 4 2ab'
loop_
_atom_site_label
_atom_site_type_symbol
_atom_site_fract_x
_atom_site_fract_y
_atom_site_fract_z
Mo1 Mo 0.164 0.336 0.000
Ir1 Ir 0.125 0.625 0.500
Pb1 Pb 0.000 0.000 0.500
```

ΔE_f ... 0.94 eV/f.u.
Calculated total energy ... -0.61959 Ry per atom
ρ ... 14.8 Mg/m³

(15)
Sr3In2Hg7 | GGA-PBE | relaxed

```
data_Sr3In2Hg7
_chemical_formula_sum 'Sr3 In2 Hg7'
_cell_length_a 5.060
_cell_length_b 4.608
_cell_length_c 15.448
_cell_angle_alpha 90.00
_cell_angle_beta 98.63
_cell_angle_gamma 90.00
_space_group_name_H-M_alt 'P 1 2/m 1'
_space_group_IT_number 10
loop_
_space_group_symop_operation_xyz
'x,y,z'
'-x,-y,-z'
'-x,y,-z'
'x,-y,z'
loop_
_atom_site_label
_atom_site_type_symbol
_atom_site_fract_x
_atom_site_fract_y
_atom_site_fract_z
Sr1 Sr 0.000 0.000 0.000
Sr2 Sr 0.321 0.500 0.640
In1 In 0.132 0.000 0.270
Hg1 Hg 0.062 0.500 0.152
Hg2 Hg 0.230 0.000 0.456
Hg3 Hg 0.424 0.000 0.840
Hg4 Hg 0.500 0.500 0.000
```

ΔE_f ... -4.08 eV/f.u.
Calculated total energy ... -0.10235 Ry per atom
ρ ... 8.8 Mg/m³

(16)
Pa2CoTc | GGA-PBE | relaxed

```
data_Pa2CoTc
_chemical_formula_sum 'Pa6 Co3 Tc3'
_cell_length_a 3.8774
_cell_length_b 3.8774
_cell_length_c 18.6893
_cell_angle_alpha 90.00
_cell_angle_beta 90.00
_cell_angle_gamma 120.00
_space_group_name_H-M_alt 'R -3 m'
_space_group_IT_number 166
_space_group_name_Hall '-R 3 2"'
loop_
_atom_site_label
_atom_site_type_symbol
_atom_site_fract_x
_atom_site_fract_y
_atom_site_fract_z
Pa1 Pa 0.0000 0.0000 0.2475
Co1 Co 0.0000 0.0000 0.5000
Tc1 Tc 0.0000 0.0000 0.0000
```

ΔE_f ... -0.76 eV/f.u.
Calculated total energy ... -0.68389 Ry per atom
Relative energy among the computed polymorphs ... 0.158 eV/atom
ρ ... 12.7 Mg/m³

(17)
In2TeSe4 | GGA-PBE | relaxed

```
data_In2TeSe4
_chemical_formula_sum 'In4 Te2 Se8'
_cell_length_a 7.814
_cell_length_b 7.814
_cell_length_c 7.093
_cell_angle_alpha 90.00
_cell_angle_beta 90.00
_cell_angle_gamma 90.00
_space_group_name_H-M_alt 'I 4/m'
_space_group_IT_number 87
_space_group_name_Hall '-I 4'
loop_
_atom_site_label
_atom_site_type_symbol
_atom_site_fract_x
_atom_site_fract_y
_atom_site_fract_z
In1 In 0.000 0.500 0.250
Te1 Te 0.000 0.000 0.000
Se1 Se 0.177 0.681 0.000
```

Uncorrected formation energy ... -2.659 eV per formula unit
Calculated total energy ... -0.26476 Ry per atom
ρ ... 5.2 Mg/m³

(18)
BeGa3Mo | GGA-PBE | relaxed

```
data_BeGa3Mo
_chemical_formula_sum 'Be1 Ga3 Mo1'
_cell_length_a 4.903
_cell_length_b 4.903
_cell_length_c 4.903
_cell_angle_alpha 90.00
_cell_angle_beta 90.00
_cell_angle_gamma 90.00
_space_group_name_H-M_alt 'P m -3 m'
_space_group_IT_number 221
_space_group_name_Hall '-P 4 2 3'
loop_
_atom_site_label
_atom_site_type_symbol
_atom_site_fract_x
_atom_site_fract_y
_atom_site_fract_z
Be1 Be 0.000 0.000 0.000
Ga1 Ga 0.000 0.500 0.500
Mo1 Mo 0.500 0.500 0.500
```

ΔE_f ... 4.75 eV/f.u.
Calculated total energy ... -0.27768 Ry per atom
Relative energy among the computed polymorphs ... 0.184 eV/atom
ρ ... 4.4 Mg/m³

(19)
Zn2GaWC | GGA-PBE | relaxed

```
data_Zn2GaWC
_chemical_formula_sum 'Zn2 Ga1 W1 C1'
_cell_length_a 3.863
_cell_length_b 3.863
_cell_length_c 5.106
_cell_angle_alpha 90.00
_cell_angle_beta 90.00
_cell_angle_gamma 90.00
_space_group_name_H-M_alt 'P 4/m m m'
_space_group_IT_number 123
_space_group_name_Hall '-P 4 2'
loop_
_atom_site_label
_atom_site_type_symbol
_atom_site_fract_x
_atom_site_fract_y
_atom_site_fract_z
Zn1 Zn 0.000 0.500 0.000
Ga1 Ga 0.000 0.000 0.500
W1 W 0.500 0.500 0.500
C1 C 0.000 0.000 0.000
```

ΔE_f ... 5.88 eV/f.u.
Calculated total energy ... -0.32155 Ry per atom
ρ ... 8.6 Mg/m³

(20)
ZnAgSb4 | GGA-PBE | relaxed

```
data_ZnAgSb4
_chemical_formula_sum 'Zn4 Ag4 Sb16'
_cell_length_a 8.781
_cell_length_b 8.781
_cell_length_c 8.781
_cell_angle_alpha 90.00
_cell_angle_beta 90.00
_cell_angle_gamma 90.00
_space_group_name_H-M_alt 'F -4 3 m'
_space_group_IT_number 216
_space_group_name_Hall 'F -4 2 3'
loop_
_atom_site_label
_atom_site_type_symbol
_atom_site_fract_x
_atom_site_fract_y
_atom_site_fract_z
Zn1 Zn 0.000 0.000 0.000
Ag1 Ag 0.250 0.250 0.750
Sb1 Sb 0.126 0.126 0.374
```

Uncorrected formation energy ... 2.694 eV per formula unit
Calculated total energy ... -0.21952 Ry per atom
ρ ... 6.5 Mg/m³